Record 1
Sm3TiSb5: optimized geometry, PBE-GGA.

Calculated values
density = 7.759 Mg/m³
uncorrected formation energy = -0.89 eV per atom
E_tot = -5.6266 eV/atom
total magnetization = 0.0 μB per formula unit

The structure in POSCAR format:
```
Sm3TiSb5
1.0
9.4198 0.0000 0.0000
-4.7099 8.1578 0.0000
0.0000 0.0000 6.1704
Sm Ti Sb
6 2 10
direct
0.6190 0.0000 0.7500
0.3810 0.0000 0.2500
0.0000 0.6190 0.7500
0.0000 0.3810 0.2500
0.3810 0.3810 0.7500
0.6190 0.6190 0.2500
0.0000 0.0000 0.5000
0.0000 0.0000 0.0000
0.2564 0.0000 0.7500
0.7436 0.0000 0.2500
0.0000 0.2564 0.7500
0.0000 0.7436 0.2500
0.7436 0.7436 0.7500
0.2564 0.2564 0.2500
0.3333 0.6667 0.5000
0.6667 0.3333 0.5000
0.6667 0.3333 0.0000
0.3333 0.6667 0.0000
```



Record 2
ZnSnGe: optimized geometry, PBE-GGA.

Calculated values
density = 6.608 Mg/m³
DFT formation energy = 159 meV/atom
E_tot = -3.1391 eV/atom
total magnetization = 0.0 μB per formula unit

The structure in POSCAR format:
```
ZnSnGe
1.0
3.1269 -0.0024 -0.0389
1.2625 3.9094 -0.1463
0.5076 1.7029 5.2139
Zn Ge Sn
1 1 1
direct
0.2376 0.6162 0.1117
0.8764 0.2723 0.8570
0.7093 0.9565 0.4729
```



Record 3
NpV2Os: optimized geometry, PBE-GGA.

Calculated values
density = 14.641 Mg/m³
DFT formation energy = 136 meV/atom
E_tot = -10.4659 eV/atom
total magnetization = 0.0 μB per formula unit

The structure in POSCAR format:
```
NpV2Os
1.0
2.9121 0.0000 0.0000
0.0000 4.5394 0.0000
0.0000 0.0000 4.5394
Np Os V
1 1 2
direct
0.5000 0.5000 0.5000
0.5000 0.0000 0.0000
0.0000 0.0000 0.5000
0.0000 0.5000 0.0000
```



Record 4
AgTeHI2: optimized geometry, PBE-GGA.

Calculated values
density = 4.388 Mg/m³
E_tot = -1.7882 eV/atom
total magnetization = 2.7 μB per formula unit

The structure in POSCAR format:
```
AgTeHI2
1.0
-2.0872 4.0400 -3.6123
-0.6319 -4.0260 -4.1375
-5.0989 -1.0363 1.7871
I H Te Ag
2 1 1 1
direct
0.0000 0.5000 0.0000
0.5000 0.0000 0.0000
0.5000 0.5000 0.5000
0.0000 0.0000 0.5000
0.0000 0.0000 0.0000
```